Density functional theory data (PBEsol) for an optimized crystal structure of MgCd5.

CIF file:
```
data_MgCd5
_cell_length_a 4.4220
_cell_length_b 4.3462
_cell_length_c 6.8711
_cell_angle_alpha 90.00
_cell_angle_beta 108.77
_cell_angle_gamma 90.00
_space_group_name_H-M_alt 'P 1'
_space_group_IT_number 1
loop_
_space_group_symop_operation_xyz
'x,y,z'
loop_
_atom_site_label
_atom_site_fract_x
_atom_site_fract_y
_atom_site_fract_z
Cd1 0.0000 0.5000 0.0000
Cd2 0.6647 0.5000 0.3295
Cd3 0.3353 0.5000 0.6705
Cd4 0.1679 0.0000 0.3358
Cd5 0.8321 0.0000 0.6642
Mg1 0.5000 0.0000 0.0000
```

Computed properties:
DOS at the Fermi energy in states/eV per atom: 0.31
Magnetization in μB/atom: 0.000
DFT formation energy in eV/atom: -0.05
E in eV per cell: -8.0

Density functional theory data (PBEsol) for an optimized crystal structure of MgCd.

CIF file:
```
data_MgCd
_cell_length_a 5.2845
_cell_length_b 5.2720
_cell_length_c 6.0537
_cell_angle_alpha 62.56
_cell_angle_beta 64.12
_cell_angle_gamma 59.92
_space_group_name_H-M_alt 'P 1'
_space_group_IT_number 1
loop_
_space_group_symop_operation_xyz
'x,y,z'
loop_
_atom_site_label
_atom_site_fract_x
_atom_site_fract_y
_atom_site_fract_z
Mg1 0.3306 0.6673 0.9988
Mg2 0.9966 0.3327 0.0012
Mg3 0.5068 0.5000 0.5000
Cd1 0.6597 0.0000 0.0000
Cd2 0.1668 0.1649 0.5079
Cd3 0.8396 0.8351 0.4921
```

Computed properties:
DOS at the Fermi energy in states/eV per atom: 0.29
Magnetization in μB/atom: 0.000
DFT formation energy in eV/atom: -0.10
E in eV per cell: -9.3

Density functional theory data (PBEsol) for an optimized crystal structure of MgCd.

CIF file:
```
data_MgCd
_cell_length_a 3.1350
_cell_length_b 3.1350
_cell_length_c 8.6606
_cell_angle_alpha 90.00
_cell_angle_beta 90.00
_cell_angle_gamma 90.00
_space_group_name_H-M_alt 'P 1'
_space_group_IT_number 1
loop_
_space_group_symop_operation_xyz
'x,y,z'
loop_
_atom_site_label
_atom_site_fract_x
_atom_site_fract_y
_atom_site_fract_z
Cd1 0.5000 0.0000 0.1233
Cd2 0.0000 0.5000 0.8767
Mg1 0.0000 0.5000 0.3661
Mg2 0.5000 0.0000 0.6339
```

Computed properties:
DOS at the Fermi energy in states/eV per atom: 0.40
Magnetization in μB/atom: 0.000
DFT formation energy in eV/atom: -0.06
E in eV per cell: -6.0

Density functional theory data (PBEsol) for an optimized crystal structure of MgCd3.

CIF file:
```
data_MgCd3
_cell_length_a 3.1563
_cell_length_b 4.3243
_cell_length_c 6.1108
_cell_angle_alpha 90.00
_cell_angle_beta 90.00
_cell_angle_gamma 90.00
_space_group_name_H-M_alt 'P 1'
_space_group_IT_number 1
loop_
_space_group_symop_operation_xyz
'x,y,z'
loop_
_atom_site_label
_atom_site_fract_x
_atom_site_fract_y
_atom_site_fract_z
Cd1 0.0000 0.0000 0.2474
Cd2 0.0000 0.0000 0.7526
Cd3 0.5000 0.5000 0.5000
Mg1 0.5000 0.5000 0.0000
```

Computed properties:
DOS at the Fermi energy in states/eV per atom: 0.38
Magnetization in μB/atom: 0.000
DFT formation energy in eV/atom: -0.06
E in eV per cell: -5.5
E above lowest polymorph in meV per atom: 21

Density functional theory data (PBEsol) for an optimized crystal structure of Mg2Cd.

CIF file:
```
data_Mg2Cd
_cell_length_a 5.3242
_cell_length_b 5.3401
_cell_length_c 5.9512
_cell_angle_alpha 64.81
_cell_angle_beta 63.43
_cell_angle_gamma 60.10
_space_group_name_H-M_alt 'P 1'
_space_group_IT_number 1
loop_
_space_group_symop_operation_xyz
'x,y,z'
loop_
_atom_site_label
_atom_site_fract_x
_atom_site_fract_y
_atom_site_fract_z
Mg1 0.4194 0.0860 0.2511
Mg2 0.7566 0.4140 0.2489
Mg3 0.2434 0.5860 0.7511
Mg4 0.5806 0.9140 0.7489
Cd1 0.9127 0.2500 0.7500
Cd2 0.0873 0.7500 0.2500
```

Computed properties:
DOS at the Fermi energy in states/eV per atom: 0.34
Magnetization in μB/atom: 0.000
DFT formation energy in eV/atom: -0.09
E in eV per cell: -9.8

Density functional theory data (PBEsol) for an optimized crystal structure of MgCd.

CIF file:
```
data_MgCd
_cell_length_a 3.1843
_cell_length_b 5.0533
_cell_length_c 5.2137
_cell_angle_alpha 90.00
_cell_angle_beta 90.00
_cell_angle_gamma 90.00
_space_group_name_H-M_alt 'P 1'
_space_group_IT_number 1
loop_
_space_group_symop_operation_xyz
'x,y,z'
loop_
_atom_site_label
_atom_site_fract_x
_atom_site_fract_y
_atom_site_fract_z
Mg1 0.5000 0.0000 0.0940
Mg2 0.0000 0.5000 0.9060
Cd1 0.5000 0.5000 0.4019
Cd2 0.0000 0.0000 0.5981
```

Computed properties:
DOS at the Fermi energy in states/eV per atom: 0.34
Magnetization in μB/atom: 0.000
DFT formation energy in eV/atom: -0.08
E in eV per cell: -6.1

Density functional theory data (PBEsol) for an optimized crystal structure of MgCd5.

CIF file:
```
data_MgCd5
_cell_length_a 3.1118
_cell_length_b 3.1118
_cell_length_c 12.9909
_cell_angle_alpha 90.00
_cell_angle_beta 90.00
_cell_angle_gamma 90.00
_space_group_name_H-M_alt 'P 1'
_space_group_IT_number 1
loop_
_space_group_symop_operation_xyz
'x,y,z'
loop_
_atom_site_label
_atom_site_fract_x
_atom_site_fract_y
_atom_site_fract_z
Cd1 0.0000 0.0000 0.3351
Cd2 0.5000 0.5000 0.1679
Cd3 0.0000 0.0000 0.6649
Cd4 0.0000 0.0000 0.0000
Cd5 0.5000 0.5000 0.8321
Mg1 0.5000 0.5000 0.5000
```

Computed properties:
DOS at the Fermi energy in states/eV per atom: 0.38
Magnetization in μB/atom: 0.000
DFT formation energy in eV/atom: -0.03
E in eV per cell: -7.9

Density functional theory data (PBEsol) for an optimized crystal structure of MgMnCd3.

CIF file:
```
data_MgMnCd3
_cell_length_a 5.0439
_cell_length_b 5.0439
_cell_length_c 5.0439
_cell_angle_alpha 90.00
_cell_angle_beta 90.00
_cell_angle_gamma 90.00
_space_group_name_H-M_alt 'P 1'
_space_group_IT_number 1
loop_
_space_group_symop_operation_xyz
'x,y,z'
loop_
_atom_site_label
_atom_site_fract_x
_atom_site_fract_y
_atom_site_fract_z
Cd1 0.0000 0.0000 0.5000
Cd2 0.0000 0.5000 0.0000
Cd3 0.5000 0.0000 0.0000
Mg1 0.5000 0.5000 0.5000
Mn1 0.0000 0.0000 0.0000
```

Computed properties:
DOS at the Fermi energy in states/eV per atom: 1.01
Magnetization in μB/atom: 0.684
DFT formation energy in eV/atom: 0.63
E in eV per cell: -11.9

Density functional theory data (PBEsol) for an optimized crystal structure of MgMn2Cd.

CIF file:
```
data_MgMn2Cd
_cell_length_a 2.9119
_cell_length_b 4.9405
_cell_length_c 4.9446
_cell_angle_alpha 100.09
_cell_angle_beta 90.00
_cell_angle_gamma 107.14
_space_group_name_H-M_alt 'P 1'
_space_group_IT_number 1
loop_
_space_group_symop_operation_xyz
'x,y,z'
loop_
_atom_site_label
_atom_site_fract_x
_atom_site_fract_y
_atom_site_fract_z
Cd1 0.5000 0.0000 0.0000
Mg1 0.0000 0.0000 0.5000
Mn1 0.7515 0.5030 0.7438
Mn2 0.2485 0.4970 0.2562
```

Computed properties:
DOS at the Fermi energy in states/eV per atom: 0.75
Magnetization in μB/atom: 1.759
DFT formation energy in eV/atom: 0.45
E in eV per cell: -20.6

Density functional theory data (PBEsol) for an optimized crystal structure of Mg2MnCd.

CIF file:
```
data_Mg2MnCd
_cell_length_a 3.1044
_cell_length_b 5.0137
_cell_length_c 5.2148
_cell_angle_alpha 103.35
_cell_angle_beta 107.32
_cell_angle_gamma 90.00
_space_group_name_H-M_alt 'P 1'
_space_group_IT_number 1
loop_
_space_group_symop_operation_xyz
'x,y,z'
loop_
_atom_site_label
_atom_site_fract_x
_atom_site_fract_y
_atom_site_fract_z
Mn1 0.4953 0.5048 0.9906
Mg1 0.2393 0.7295 0.4786
Mg2 0.0059 0.0115 0.0118
Cd1 0.7595 0.2541 0.5189
```

Computed properties:
DOS at the Fermi energy in states/eV per atom: 0.65
Magnetization in μB/atom: 0.886
DFT formation energy in eV/atom: 0.21
E in eV per cell: -13.6

Density functional theory data (PBEsol) for an optimized crystal structure of MgMn2Cd.

CIF file:
```
data_MgMn2Cd
_cell_length_a 2.8450
_cell_length_b 2.8450
_cell_length_c 7.3397
_cell_angle_alpha 90.00
_cell_angle_beta 90.00
_cell_angle_gamma 90.00
_space_group_name_H-M_alt 'P 1'
_space_group_IT_number 1
loop_
_space_group_symop_operation_xyz
'x,y,z'
loop_
_atom_site_label
_atom_site_fract_x
_atom_site_fract_y
_atom_site_fract_z
Cd1 0.0000 0.0000 0.4672
Mn1 0.5000 0.5000 0.1977
Mn2 0.0000 0.0000 0.0453
Mg1 0.5000 0.5000 0.7898
```

Computed properties:
DOS at the Fermi energy in states/eV per atom: 0.62
Magnetization in μB/atom: 0.028
DFT formation energy in eV/atom: 0.18
E in eV per cell: -21.7

Density functional theory data (PBEsol) for an optimized crystal structure of MgCdMo2.

CIF file:
```
data_MgCdMo2
_cell_length_a 4.5530
_cell_length_b 4.5530
_cell_length_c 4.5530
_cell_angle_alpha 60.00
_cell_angle_beta 60.00
_cell_angle_gamma 60.00
_space_group_name_H-M_alt 'P 1'
_space_group_IT_number 1
loop_
_space_group_symop_operation_xyz
'x,y,z'
loop_
_atom_site_label
_atom_site_fract_x
_atom_site_fract_y
_atom_site_fract_z
Mo1 0.7500 0.7500 0.7500
Mo2 0.0000 0.0000 0.0000
Cd1 0.5000 0.5000 0.5000
Mg1 0.2500 0.2500 0.2500
```

Computed properties:
DOS at the Fermi energy in states/eV per atom: 0.64
Magnetization in μB/atom: 0.000
DFT formation energy in eV/atom: 0.43
E in eV per cell: -24.7
E above lowest polymorph in meV per atom: 0

- DFT formation energy of number 8 (MgMnCd3)?
  0.63 eV/atom